Entry from the Alexandria database: a geometry-optimized NiH12Br2O14 structure (GGA+U).

Cell and atoms, written as POSCAR:
```
NiH12Br2O14
1.0
-6.692 -0.616 -0.223
0.826 8.402 -1.244
-0.580 -3.110 -5.855
O Br H Ni
14 2 12 1
Direct
0.342 0.367 0.923
0.278 0.087 0.554
0.699 0.086 0.184
0.359 0.589 0.646
0.129 0.589 0.301
0.288 0.888 0.131
0.297 0.132 0.109
0.712 0.112 0.869
0.641 0.411 0.354
0.722 0.913 0.446
0.658 0.633 0.077
0.703 0.868 0.891
0.301 0.914 0.816
0.871 0.411 0.699
0.071 0.303 0.651
0.929 0.697 0.349
0.276 0.021 0.653
0.271 0.010 0.403
0.686 0.527 0.965
0.686 0.720 0.002
0.318 0.704 0.717
0.609 0.422 0.506
0.314 0.473 0.035
0.729 0.990 0.597
0.682 0.296 0.283
0.391 0.578 0.494
0.724 0.979 0.347
0.314 0.280 0.998
0.500 0.000 0.000
```

Values from the calculation:
* polymorph energy (0 for the lowest one): 334 meV per atom
* E: -4.261 eV/atom